Entry 1:
A plane-wave DFT calculation with PBE was carried out for crystalline GeWAu3 at its relaxed geometry.

Summary:
E_form ... 1.27 eV/atom
ΔE to the lowest computed polymorph ... 0 meV/atom
Space-group type ... Pm-3m (221)

The structure in POSCAR format:
```
GeWAu3
1.0
5.056 0.000 0.000
0.000 5.056 0.000
0.000 0.000 5.056
Ge Au W
1 3 1
Direct
0.500 0.500 0.500 Ge
0.000 0.500 0.000 Au
0.000 0.000 0.500 Au
0.500 0.000 0.000 Au
0.000 0.000 0.000 W
```

Entry 2:
A plane-wave DFT calculation with PBE was carried out for crystalline Be3BCl at its relaxed geometry.

Summary:
E_form (uncorrected) ... 3.943 kcal/mol of atoms
ΔE to the lowest computed polymorph ... 0 meV/atom
Space-group type ... Pm-3m (221)

The structure in POSCAR format:
```
Be3BCl
1.0
-3.656 0.955 -0.728
0.057 -2.191 -3.162
-1.199 -3.016 2.067
Be B Cl
3 1 1
Direct
0.000 0.500 0.000 Be
0.000 0.000 0.500 Be
0.500 0.000 0.000 Be
0.000 0.000 0.000 B
0.500 0.500 0.500 Cl
```

Entry 3:
A plane-wave DFT calculation with PBE was carried out for crystalline DySbPd2 at its relaxed geometry.

Summary:
E_form (uncorrected) ... -16.166 kcal/mol of atoms
Space-group type ... Pmmm (47)

The structure in POSCAR format:
```
DySbPd2
1.0
4.384 0.000 0.000
0.000 3.446 0.386
0.000 -0.635 5.672
Dy Sb Pd
1 1 2
Direct
0.500 0.500 0.000 Dy
0.500 0.000 0.500 Sb
0.000 0.000 0.236 Pd
0.000 0.000 0.764 Pd
```

Entry 4:
A plane-wave DFT calculation with PBE was carried out for crystalline LaGd2N at its relaxed geometry.

Summary:
E_form (uncorrected) ... -4.859 kcal/mol of atoms
ΔE to the lowest computed polymorph ... 471 meV/atom
Space-group type ... P4/mmm (123)

The structure in POSCAR format:
```
LaGd2N
1.0
-0.750 -2.532 1.815
-0.382 -1.778 -2.638
8.903 -2.402 0.331
N Gd La
1 2 1
Direct
0.500 0.500 0.000 N
0.000 0.000 0.846 Gd
0.000 0.000 0.154 Gd
0.500 0.500 0.500 La
```

Entry 5:
A plane-wave DFT calculation with PBE was carried out for crystalline TaSiP2 at its relaxed geometry.

Summary:
E_form (uncorrected) ... 6.102 kcal/mol of atoms
Space-group type ... I4/mmm (139)

The structure in POSCAR format:
```
TaSiP2
1.0
-0.909 0.184 4.707
3.795 -1.597 2.463
-0.428 3.265 -3.490
P Si Ta
2 1 1
Direct
0.000 0.000 0.000 P
0.500 0.500 0.000 P
0.250 0.750 0.500 Si
0.750 0.250 0.500 Ta
```

Entry 6:
A plane-wave DFT calculation with PBE was carried out for crystalline CrWSe at its relaxed geometry.

Summary:
E_form (uncorrected) ... 9.301 kcal/mol of atoms
ΔE to the lowest computed polymorph ... 23 meV/atom
Space-group type ... P3m1 (156)

The structure in POSCAR format:
```
CrWSe
1.0
4.128 0.000 0.000
-2.064 3.575 0.000
0.000 0.000 2.946
Cr Se W
1 1 1
Direct
0.000 0.000 0.168 Cr
0.667 0.333 0.167 Se
0.333 0.667 0.666 W
```

Entry 7:
A plane-wave DFT calculation with PBE was carried out for crystalline FeAs at its relaxed geometry.

Summary:
E_form ... 0.03 eV/atom
Space-group type ... Pmmn (59)

The structure in POSCAR format:
```
FeAs
1.0
2.910 0.000 0.000
0.000 4.513 0.000
0.000 0.000 4.037
As Fe
2 2
Direct
0.000 0.000 0.062 As
0.500 0.500 0.771 As
0.500 0.000 0.543 Fe
0.000 0.500 0.290 Fe
```

Entry 8:
A plane-wave DFT calculation with PBE was carried out for crystalline BeMoPd at its relaxed geometry.

Summary:
E_form ... -0.10 eV/atom
ΔE to the lowest computed polymorph ... 136 meV/atom
Space-group type ... P1 (1)

The structure in POSCAR format:
```
BeMoPd
1.0
-0.826 0.030 -2.558
-1.050 -4.107 0.260
-6.170 3.111 1.589
Be Mo Pd
2 2 2
Direct
0.047 0.360 0.816 Be
0.569 0.086 0.576 Be
0.668 0.469 0.134 Mo
0.478 0.894 0.917 Mo
0.110 0.020 0.297 Pd
0.075 0.597 0.553 Pd
```

Entry 9:
A plane-wave DFT calculation with PBE was carried out for crystalline LiInCl2 at its relaxed geometry.

Summary:
E_form (uncorrected) ... -28.754 kcal/mol of atoms
ΔE to the lowest computed polymorph ... 58 meV/atom
Space-group type ... R3m (160)

The structure in POSCAR format:
```
LiInCl2
1.0
3.837 0.000 0.000
1.918 3.323 0.000
1.918 1.108 7.368
Li In Cl
1 1 2
Direct
0.667 0.667 0.998 Li
0.500 0.500 0.501 In
0.064 0.064 0.808 Cl
0.269 0.269 0.193 Cl
```

Entry 10:
A plane-wave DFT calculation with PBE was carried out for crystalline Y2I2F at its relaxed geometry.

Summary:
E_form (uncorrected) ... -23.045 kcal/mol of atoms
ΔE to the lowest computed polymorph ... 0 meV/atom
Space-group type ... P4/mbm (127)

The structure in POSCAR format:
```
Y2I2F
1.0
-2.987 -7.727 1.773
1.709 -2.478 -7.919
3.462 -1.089 1.088
I Y F
4 4 2
Direct
0.353 0.853 0.000 I
0.853 0.647 0.000 I
0.647 0.147 0.000 I
0.147 0.353 0.000 I
0.149 0.649 0.500 Y
0.649 0.851 0.500 Y
0.851 0.351 0.500 Y
0.351 0.149 0.500 Y
0.000 0.000 0.000 F
0.500 0.500 0.000 F
```

Entry 11:
A plane-wave DFT calculation with PBE was carried out for crystalline BaCuRu2 at its relaxed geometry.

Summary:
E_form ... 1.13 eV/atom
ΔE to the lowest computed polymorph ... 923 meV/atom
Space-group type ... Cmmm (65)

The structure in POSCAR format:
```
BaCuRu2
1.0
-3.937 3.827 -0.066
0.283 -3.514 -4.209
-1.803 -1.830 1.407
Ba Cu Ru
1 1 2
Direct
0.500 0.000 0.500 Ba
0.000 0.500 0.500 Cu
0.000 0.000 0.000 Ru
0.500 0.500 0.000 Ru
```

Entry 12:
A plane-wave DFT calculation with PBE was carried out for crystalline RbSnMo2Br at its relaxed geometry.

Summary:
E_form (uncorrected) ... 33.253 kcal/mol of atoms
Space-group type ... P4/mmm (123)

The structure in POSCAR format:
```
RbSnMo2Br
1.0
4.956 0.000 0.000
0.000 5.828 0.000
0.000 0.000 4.956
Mo Br Sn Rb
2 1 1 1
Direct
0.000 0.000 0.500 Mo
0.500 0.000 0.000 Mo
0.000 0.000 0.000 Br
0.500 0.500 0.500 Sn
0.000 0.500 0.000 Rb
```

Entry 13:
A plane-wave DFT calculation with PBE was carried out for crystalline YSeBr2F at its relaxed geometry.

Summary:
E_form (uncorrected) ... -22.167 kcal/mol of atoms
ΔE to the lowest computed polymorph ... 0 meV/atom
Space-group type ... P4/mmm (123)

The structure in POSCAR format:
```
YSeBr2F
1.0
5.466 0.000 0.000
0.000 5.466 0.000
0.000 0.000 5.813
Y Se Br F
1 1 2 1
Direct
0.000 0.000 0.000 Y
0.000 0.000 0.500 Se
0.000 0.500 0.000 Br
0.500 0.000 0.000 Br
0.500 0.500 0.500 F
```

Entry 14:
A plane-wave DFT calculation with PBE was carried out for crystalline La2SbPd6 at its relaxed geometry.

Summary:
E_form (uncorrected) ... -18.002 kcal/mol of atoms
Space-group type ... C2/m (12)

The structure in POSCAR format:
```
La2SbPd6
1.0
5.856 0.000 0.000
-2.928 4.913 1.097
0.000 0.046 6.396
La Sb Pd
2 1 6
Direct
0.638 0.276 0.180 La
0.362 0.724 0.820 La
0.000 0.000 0.000 Sb
0.875 0.275 0.679 Pd
0.877 0.753 0.679 Pd
0.400 0.275 0.679 Pd
0.125 0.725 0.321 Pd
0.123 0.247 0.321 Pd
0.600 0.725 0.321 Pd
```

Entry 15:
A plane-wave DFT calculation with PBE was carried out for crystalline Sr2NiSe at its relaxed geometry.

Summary:
E_form (uncorrected) ... -18.323 kcal/mol of atoms
Space-group type ... P4/mmm (123)

The structure in POSCAR format:
```
Sr2NiSe
1.0
-1.535 0.420 -4.084
3.948 -1.046 -1.592
-1.596 -5.998 -0.017
Ni Se Sr
1 1 2
Direct
0.000 0.000 0.375 Ni
0.500 0.500 0.875 Se
0.000 0.000 0.875 Sr
0.500 0.500 0.375 Sr
```

Entry 16:
A plane-wave DFT calculation with PBE was carried out for crystalline Tb4Pm19Tm6 at its relaxed geometry.

Summary:
E_form ... 0.37 eV/atom
Space-group type ... I23 (197)

The structure in POSCAR format:
```
Tb4Pm19Tm6
1.0
10.306 0.000 -3.644
-5.153 8.925 -3.644
0.000 0.000 10.931
Tb Pm Tm
4 19 6
Direct
0.000 0.000 0.640 Tb
0.000 0.640 0.000 Tb
0.360 0.360 0.360 Tb
0.640 0.000 0.000 Tb
0.738 0.000 0.738 Pm
0.262 0.000 0.262 Pm
0.262 0.262 0.000 Pm
0.738 0.738 0.000 Pm
0.000 0.738 0.738 Pm
0.000 0.262 0.262 Pm
0.000 0.000 0.000 Pm
0.202 0.218 0.544 Pm
0.798 0.342 0.016 Pm
0.674 0.658 0.456 Pm
0.016 0.798 0.342 Pm
0.326 0.782 0.984 Pm
0.544 0.202 0.218 Pm
0.984 0.326 0.782 Pm
0.456 0.674 0.658 Pm
0.782 0.984 0.326 Pm
0.342 0.016 0.798 Pm
0.218 0.544 0.202 Pm
0.658 0.456 0.674 Pm
0.375 0.500 0.875 Tm
0.625 0.500 0.125 Tm
0.125 0.625 0.500 Tm
0.875 0.375 0.500 Tm
0.500 0.875 0.375 Tm
0.500 0.125 0.625 Tm
```

Entry 17:
A plane-wave DFT calculation with PBE was carried out for crystalline CsTcHgGe2 at its relaxed geometry.

Summary:
E_form ... -0.02 eV/atom
Space-group type ... P4/mmm (123)

The structure in POSCAR format:
```
CsTcHgGe2
1.0
4.885 0.000 0.000
0.000 4.885 0.000
0.000 0.000 5.607
Cs Ge Hg Tc
1 2 1 1
Direct
0.500 0.500 0.500 Cs
0.000 0.500 0.000 Ge
0.500 0.000 0.000 Ge
0.000 0.000 0.500 Hg
0.000 0.000 0.000 Tc
```

Entry 18:
A plane-wave DFT calculation with PBE was carried out for crystalline NpTlF4 at its relaxed geometry.

Summary:
E_form (uncorrected) ... -66.786 kcal/mol of atoms
Space-group type ... Cmmm (65)

The structure in POSCAR format:
```
NpTlF4
1.0
4.028 -0.030 -0.002
-0.031 4.028 -0.003
0.002 0.003 6.893
Np Tl F
1 1 4
Direct
0.001 0.997 0.498 Np
0.501 0.497 0.998 Tl
0.501 0.997 0.309 F
0.501 0.997 0.688 F
0.001 0.497 0.688 F
0.001 0.497 0.308 F
```

Entry 19:
A plane-wave DFT calculation with PBE was carried out for crystalline GaGePO2 at its relaxed geometry.

Summary:
E_form (uncorrected) ... -10.810 kcal/mol of atoms
ΔE to the lowest computed polymorph ... 0 meV/atom
Space-group type ... P4/mmm (123)

The structure in POSCAR format:
```
GaGePO2
1.0
-0.271 -3.091 -1.936
3.394 -0.925 1.002
-1.921 -2.475 4.222
P Ge O Ga
1 1 2 1
Direct
0.000 0.000 0.500 P
0.000 0.000 0.000 Ge
0.000 0.500 0.000 O
0.500 0.000 0.000 O
0.500 0.500 0.500 Ga
```

Entry 20:
A plane-wave DFT calculation with PBE was carried out for crystalline LiMgMn3 at its relaxed geometry.

Summary:
E_form ... 0.92 eV/atom
ΔE to the lowest computed polymorph ... 0 meV/atom
Space-group type ... Pm-3m (221)

The structure in POSCAR format:
```
LiMgMn3
1.0
4.354 0.000 0.000
0.000 4.354 0.000
0.000 0.000 4.354
Mg Mn Li
1 3 1
Direct
0.500 0.500 0.500 Mg
0.000 0.500 0.000 Mn
0.000 0.000 0.500 Mn
0.500 0.000 0.000 Mn
0.000 0.000 0.000 Li
```

Entry 21:
A plane-wave DFT calculation with PBE was carried out for crystalline Be2FeAs at its relaxed geometry.

Summary:
E_form ... 0.05 eV/atom
ΔE to the lowest computed polymorph ... 46 meV/atom
Space-group type ... P4mm (99)

The structure in POSCAR format:
```
Be2FeAs
1.0
-0.608 -2.687 1.266
-0.934 -1.054 -2.686
4.369 -1.439 -0.954
Be As Fe
2 1 1
Direct
0.000 0.000 0.022 Be
0.500 0.500 0.239 Be
0.500 0.500 0.743 As
0.000 0.000 0.496 Fe
```

Entry 22:
A plane-wave DFT calculation with PBE was carried out for crystalline CaSc2PdC at its relaxed geometry.

Summary:
E_form ... -0.36 eV/atom
Space-group type ... P4/mmm (123)

The structure in POSCAR format:
```
CaSc2PdC
1.0
4.447 0.000 0.000
0.000 4.447 0.000
0.000 0.000 5.013
Sc Ca C Pd
2 1 1 1
Direct
0.000 0.500 0.000 Sc
0.500 0.000 0.000 Sc
0.000 0.000 0.500 Ca
0.000 0.000 0.000 C
0.500 0.500 0.500 Pd
```

Entry 23:
A plane-wave DFT calculation with PBE was carried out for crystalline CaPr2CdHg4 at its relaxed geometry.

Summary:
E_form ... -0.47 eV/atom
Space-group type ... R-3m (166)

The structure in POSCAR format:
```
CaPr2CdHg4
1.0
5.302 0.000 0.000
2.651 4.591 0.000
2.651 1.530 8.738
Ca Pr Cd Hg
1 2 1 4
Direct
0.000 0.000 0.000 Ca
0.756 0.756 0.733 Pr
0.244 0.244 0.267 Pr
0.500 0.500 0.500 Cd
0.371 0.371 0.886 Hg
0.878 0.878 0.367 Hg
0.122 0.122 0.633 Hg
0.629 0.629 0.114 Hg
```

Entry 24:
A plane-wave DFT calculation with PBE was carried out for crystalline Ce2AsRh6 at its relaxed geometry.

Summary:
E_form ... -0.68 eV/atom
Space-group type ... C2/m (12)

The structure in POSCAR format:
```
Ce2AsRh6
1.0
5.565 0.000 0.000
-2.783 4.678 1.108
0.000 0.118 6.096
Ce As Rh
2 1 6
Direct
0.638 0.277 0.176 Ce
0.362 0.723 0.824 Ce
0.000 0.000 0.000 As
0.880 0.274 0.688 Rh
0.882 0.763 0.689 Rh
0.395 0.274 0.688 Rh
0.120 0.726 0.312 Rh
0.118 0.237 0.311 Rh
0.605 0.726 0.312 Rh
```

Entry 25:
A plane-wave DFT calculation with PBE was carried out for crystalline SrTa2Cr at its relaxed geometry.

Summary:
E_form ... 1.05 eV/atom
ΔE to the lowest computed polymorph ... 460 meV/atom
Space-group type ... I-4m2 (119)

The structure in POSCAR format:
```
SrTa2Cr
1.0
-1.440 4.248 1.950
-2.171 1.187 -4.220
-1.124 -4.210 2.222
Cr Sr Ta
1 1 2
Direct
0.500 0.500 0.000 Cr
0.750 0.250 0.500 Sr
0.000 0.000 0.000 Ta
0.250 0.750 0.500 Ta
```

Entry 26:
A plane-wave DFT calculation with PBE was carried out for crystalline HfZrZnCu at its relaxed geometry.

Summary:
E_form ... -0.17 eV/atom
Space-group type ... P4mm (99)

The structure in POSCAR format:
```
HfZrZnCu
1.0
-0.369 0.119 3.214
-2.166 -2.400 -0.160
5.000 -4.561 0.743
Hf Zr Zn Cu
1 1 1 1
Direct
0.000 0.000 0.348 Hf
0.000 0.000 0.859 Zr
0.500 0.500 0.599 Zn
0.500 0.500 0.122 Cu
```

Entry 27:
A plane-wave DFT calculation with PBE was carried out for crystalline Mg3ZnSe at its relaxed geometry.

Summary:
E_form (uncorrected) ... -4.094 kcal/mol of atoms
ΔE to the lowest computed polymorph ... 8 meV/atom
Space-group type ... Cmcm (63)

The structure in POSCAR format:
```
Mg3ZnSe
1.0
3.884 -6.080 0.000
3.884 6.080 0.000
0.000 0.000 4.902
Mg Zn Se
6 2 2
Direct
0.200 0.800 0.750 Mg
0.800 0.200 0.250 Mg
0.625 0.782 0.750 Mg
0.375 0.218 0.250 Mg
0.218 0.375 0.750 Mg
0.782 0.625 0.250 Mg
0.000 0.000 0.000 Zn
0.000 0.000 0.500 Zn
0.632 0.368 0.750 Se
0.368 0.632 0.250 Se
```